Crystalline CaTl2Cl2 at its relaxed geometry. Source: the Alexandria database, functional PBE-GGA.

```
CaTl2Cl2
1.0
7.129 0.000 0.000
0.000 7.129 0.000
0.000 0.000 6.320
Ca Tl Cl
2 4 4
direct
0.000 0.000 0.000
0.500 0.500 0.000
0.184 0.316 0.500
0.316 0.816 0.500
0.684 0.184 0.500
0.816 0.684 0.500
0.175 0.675 0.000
0.325 0.175 0.000
0.675 0.825 0.000
0.825 0.325 0.000
```

Calculated values
Formation energy (no corrections) in eV/atom: -1.107
Total magnetization in Bohr magnetons per cell: 0.0
Density of states at the Fermi level in states/eV/cell: 3.10